(1)
Material: KHfCu
Method: DFT, PBE
State: relaxed

Energy relative to the lowest polymorph listed for this composition ... 0.000 eV per atom
Uncorrected energy ... -3.684 eV/atom

abc: 4.8088 4.8088 4.8088
angles: 60.00 60.00 60.00
Fractional positions:
Cu: 0.0000 0.0000 0.0000
Hf: 0.2500 0.2500 0.2500
K: 0.7500 0.7500 0.7500



(2)
Material: KHfCu
Method: DFT, PBE
State: relaxed

Energy relative to the lowest polymorph listed for this composition ... 0.711 eV per atom
Uncorrected energy ... -2.973 eV/atom

abc: 4.7796 4.7796 4.7796
angles: 60.00 60.00 60.00
Fractional positions:
Cu: 0.2500 0.2500 0.2500
Hf: 0.7500 0.7500 0.7500
K: 0.0000 0.0000 0.0000